# NaNbCd

An optimized crystal structure of NaNbCd (PBE, Alexandria).

abc: 12.0753 3.4792 3.4675
angles: 90.00 89.88 90.00
Positions (direct):
Cd 0.7967 0.2500 0.2521
Nb 0.0513 0.2500 0.2495
Cd 0.2033 0.7500 0.7479
Nb 0.9487 0.7500 0.7505
Na 0.6181 0.7500 0.7528
Na 0.3819 0.2500 0.2472

Output
**N(E_F)**: 2.39 states/eV/f.u.
**V**: 145.7 Å³ per cell
**M_tot**: 0.00 μB/cell
**Symmetry**: P2_1/m, No. 11
**E above lowest polymorph**: 46 meV per atom

***

# NaNbCd

An optimized crystal structure of NaNbCd (PBE, Alexandria).

abc: 2.9655 2.9654 15.7148
angles: 89.52 89.69 73.34
Positions (direct):
Na 0.2464 0.7390 0.3998
Nb 0.7510 0.2529 0.9312
Cd 0.2548 0.7605 0.7757
Cd 0.7452 0.2395 0.2243
Na 0.7536 0.2610 0.6002
Nb 0.2490 0.7471 0.0688

Output
**N(E_F)**: 1.38 states/eV/f.u.
**V**: 132.4 Å³ per cell
**M_tot**: 0.00 μB/cell
**Symmetry**: P-1, No. 2
**E above lowest polymorph**: 0 meV per atom